Entry from Alexandria via LeMat-Bulk: a relaxed VCoTe crystal (PBE-GGA). Values from VASP.

Geometry as Quantum ESPRESSO input:
```
&SYSTEM
  ibrav = 0, nat = 12, ntyp = 3
/
ATOMIC_SPECIES
V 50.94 V.upf
Co 58.93 Co.upf
Te 127.60 Te.upf
CELL_PARAMETERS angstrom
5.8604 0.0000 0.0000
0.0000 5.8604 0.0000
0.0000 0.0000 5.8604
ATOMIC_POSITIONS angstrom
V 0.0000 0.0000 0.0000
V 0.0000 2.9302 2.9302
V 2.9302 0.0000 2.9302
V 2.9302 2.9302 0.0000
Co 1.4651 1.4651 1.4651
Co 1.4651 4.3953 4.3953
Co 4.3953 1.4651 4.3953
Co 4.3953 4.3953 1.4651
Te 0.0000 0.0000 2.9302
Te 0.0000 2.9302 0.0000
Te 2.9302 0.0000 0.0000
Te 2.9302 2.9302 2.9302
```

Calculated values
- M_tot: 2.01 μB per formula unit
- Formation energy (no corrections): -0.018 eV per atom
- N(E_F): 1.400 states/eV/atom
- Calculated density: 7.84 Mg/m³
- ΔE to the lowest computed polymorph: 71.1 meV per atom